CsPaBi3 | PBE | optimized geometry

The value obtained for the magnetic moment is 0.00 μB/f.u. As for the density of states at the Fermi level: 11.8 states/eV/cell. The value obtained for the total DFT energy (no corrections) is -0.1627 Ha/atom. The formation energy comes out at -0.03 eV/atom.

The structure belongs to space group Pm-3m (No. 221); the cell edges are 6.104, 6.104 and 6.104 Å and the angles 90.00°, 90.00° and 90.00°. Symmetry generates all atoms from Cs at (0.000, 0.000, 0.000), Pa at (0.500, 0.500, 0.500) and Bi at (0.000, 0.500, 0.500).



CsPaBi2 | PBE | optimized geometry

The offset from the most stable computed form is 0.000 eV per atom. The value obtained for the magnetic moment is 0.00 μB/f.u. The value obtained for the total DFT energy (no corrections) is -0.1753 Ha/atom. The formation energy comes out at -0.24 eV/atom.

The structure belongs to space group R-3m (No. 166, hexagonal axes); the cell edges are 4.6832, 4.6832 and 27.0607 Å and the angles 90.00°, 90.00° and 120.00°. Symmetry generates all atoms from Cs at (0.0000, 0.0000, 0.0000), Pa at (0.0000, 0.0000, 0.5000) and Bi at (0.0000, 0.0000, 0.2266).



Cs3PaBi6Pb2 | PBE | optimized geometry

The value obtained for the magnetic moment is 0.39 μB/f.u. As for the density of states at the Fermi level: 15.0 states/eV/cell. The value obtained for the total DFT energy (no corrections) is -0.1368 Ha/atom. The formation energy comes out at -0.16 eV/atom.

The structure belongs to space group C2/m (No. 12); the cell edges are 5.112, 17.214 and 10.325 Å and the angles 90.00°, 90.00° and 90.00°. Symmetry generates all atoms from Cs at (0.000, 0.000, 0.000), Cs at (0.000, 0.331, 0.000), Pa at (0.000, 0.000, 0.500), Bi at (0.000, 0.141, 0.295), Bi at (0.001, 0.500, 0.287) and Pb at (0.000, 0.321, 0.500).



CsPaBiS4 | PBE | optimized geometry

The value obtained for the magnetic moment is 0.00 μB/f.u. The value obtained for the total DFT energy (no corrections) is -0.2022 Ha/atom.

The structure belongs to space group Imma (No. 74); the cell edges are 6.742, 8.108 and 16.450 Å and the angles 90.00°, 90.00° and 90.00°. Symmetry generates all atoms from Cs at (0.000, 0.250, 0.171), Pa at (0.000, 0.000, 0.500), Bi at (0.250, 0.250, 0.750), S at (0.000, 0.017, 0.666) and S at (0.246, 0.250, 0.503).



CsPaBi2S5 | PBE | optimized geometry

The value obtained for the magnetic moment is 0.00 μB/f.u. As for the density of states at the Fermi level: 7.3 states/eV/cell. The value obtained for the total DFT energy (no corrections) is -0.1880 Ha/atom.

The structure belongs to space group Immm (No. 71); the cell edges are 5.386, 7.692 and 13.135 Å and the angles 90.00°, 90.00° and 90.00°. Symmetry generates all atoms from Cs at (0.000, 0.000, 0.000), Pa at (0.000, 0.000, 0.500), Bi at (0.000, 0.500, 0.225), S at (0.000, 0.245, 0.359) and S at (0.000, 0.500, 0.000).



Cs2PaBiS5 | PBE | optimized geometry

The value obtained for the magnetic moment is 0.00 μB/f.u. The value obtained for the total DFT energy (no corrections) is -0.1879 Ha/atom.

The structure belongs to space group Cmc2_1 (No. 36); the cell edges are 4.306, 17.782 and 16.518 Å and the angles 90.00°, 90.00° and 90.00°. Symmetry generates all atoms from Cs at (0.000, 0.090, 0.000), Cs at (0.000, 0.153, 0.631), Pa at (0.000, 0.215, 0.355), Bi at (0.000, 0.471, 0.774), S at (0.000, 0.068, 0.379), S at (0.000, 0.277, 0.954), S at (0.000, 0.316, 0.753), S at (0.000, 0.352, 0.321) and S at (0.000, 0.498, 0.128).



Cs3PaBi3Se8 | PBE | optimized geometry

The value obtained for the magnetic moment is 0.87 μB/f.u. As for the density of states at the Fermi level: 7.8 states/eV/cell. The value obtained for the total DFT energy (no corrections) is -0.1604 Ha/atom.

The structure belongs to space group C2/m (No. 12); the cell edges are 14.972, 8.647 and 9.917 Å and the angles 90.00°, 120.25° and 90.00°. Symmetry generates all atoms from Cs at (0.000, 0.000, 0.000), Cs at (0.250, 0.250, 0.000), Pa at (0.000, 0.000, 0.500), Bi at (0.000, 0.500, 0.500), Bi at (0.250, 0.250, 0.500), Se at (0.019, 0.242, 0.315), Se at (0.223, 0.000, 0.685) and Se at (0.230, 0.500, 0.690).



Cs2PaBi2Se6 | PBE | optimized geometry

The value obtained for the magnetic moment is 1.05 μB/f.u. As for the density of states at the Fermi level: 7.6 states/eV/cell. The value obtained for the total DFT energy (no corrections) is -0.1691 Ha/atom.

The structure belongs to space group C2/m (No. 12); the cell edges are 7.439, 12.856 and 8.983 Å and the angles 90.00°, 106.66° and 90.00°. Symmetry generates all atoms from Cs at (0.000, 0.170, 0.000), Pa at (0.000, 0.000, 0.500), Bi at (0.000, 0.332, 0.500), Se at (0.226, 0.162, 0.686) and Se at (0.242, 0.500, 0.686).



Cs2PaBiSe4 | PBE | optimized geometry

The value obtained for the magnetic moment is 0.02 μB/f.u. As for the density of states at the Fermi level: 8.7 states/eV/cell. The value obtained for the total DFT energy (no corrections) is -0.1663 Ha/atom.

The structure belongs to space group I-4 (No. 82); the cell edges are 8.656, 8.656 and 9.161 Å and the angles 90.00°, 90.00° and 90.00°. Symmetry generates all atoms from Cs at (0.000, 0.000, 0.000), Cs at (0.000, 0.500, 0.250), Pa at (0.000, 0.500, 0.750), Bi at (0.000, 0.000, 0.500) and Se at (0.150, 0.295, 0.579).



Cs3Bi4Pb4 | PBE | optimized geometry

The offset from the most stable computed form is 0.019 eV per atom. The value obtained for the magnetic moment is 0.00 μB/f.u. As for the density of states at the Fermi level: 12.6 states/eV/cell. The value obtained for the total DFT energy (no corrections) is -0.1171 Ha/atom. The formation energy comes out at -0.19 eV/atom.

The structure belongs to space group Immm (No. 71); the cell edges are 5.982, 8.583 and 17.839 Å and the angles 90.00°, 90.00° and 90.00°. Symmetry generates all atoms from Cs at (0.000, 0.000, 0.000), Cs at (0.000, 0.500, 0.120), Bi at (0.000, 0.000, 0.217), Bi at (0.000, 0.182, 0.500) and Pb at (0.000, 0.306, 0.328).



CsBi4Pb6 | PBE | optimized geometry

The value obtained for the magnetic moment is 0.00 μB/f.u. As for the density of states at the Fermi level: 4.1 states/eV/cell. The value obtained for the total DFT energy (no corrections) is -0.1307 Ha/atom. The formation energy comes out at -0.04 eV/atom.

The structure belongs to space group P-6m2 (No. 187); the cell edges are 9.5532, 9.5532 and 5.1468 Å and the angles 90.00°, 90.00° and 120.00°. Symmetry generates all atoms from Cs at (0.0000, 0.0000, 0.0000), Bi at (0.3333, 0.6667, 0.0000), Bi at (0.3821, 0.1911, 0.5000), Pb at (0.1989, 0.3978, 0.5000) and Pb at (0.5426, 0.0852, 0.0000).



Cs3Bi2Pb | PBE | optimized geometry

The offset from the most stable computed form is 0.079 eV per atom. The value obtained for the magnetic moment is 0.00 μB/f.u. As for the density of states at the Fermi level: 6.1 states/eV/cell. The value obtained for the total DFT energy (no corrections) is -0.0946 Ha/atom. The formation energy comes out at -0.24 eV/atom.

The structure belongs to space group C2/m (No. 12); the cell edges are 20.964, 5.920 and 11.046 Å and the angles 90.00°, 104.44° and 90.00°. Symmetry generates all atoms from Cs at (0.060, 0.000, 0.190), Cs at (0.179, 0.500, 0.047), Cs at (0.192, 0.000, 0.562), Bi at (0.090, 0.500, 0.411), Bi at (0.117, 0.000, 0.829) and Pb at (0.065, 0.500, 0.681).



Cs3Bi3Pb8 | PBE | optimized geometry

The value obtained for the magnetic moment is 0.00 μB/f.u. As for the density of states at the Fermi level: 12.6 states/eV/cell. The value obtained for the total DFT energy (no corrections) is -0.1201 Ha/atom. The formation energy comes out at -0.14 eV/atom.

The structure belongs to space group C2/m (No. 12); the cell edges are 20.158, 5.374 and 12.921 Å and the angles 90.00°, 129.03° and 90.00°. Symmetry generates all atoms from Cs at (0.000, 0.000, 0.000), Cs at (0.210, 0.500, 0.711), Bi at (0.000, 0.000, 0.500), Bi at (0.137, 0.500, 0.986), Pb at (0.005, 0.500, 0.334), Pb at (0.145, 0.500, 0.289), Pb at (0.154, 0.000, 0.438) and Pb at (0.156, 0.000, 0.866).



CsBiPb3 | PBE | optimized geometry

The offset from the most stable computed form is 0.084 eV per atom. The value obtained for the magnetic moment is 0.00 μB/f.u. As for the density of states at the Fermi level: 3.3 states/eV/cell. The value obtained for the total DFT energy (no corrections) is -0.1196 Ha/atom. The formation energy comes out at -0.08 eV/atom.

The structure belongs to space group P4mm (No. 99); the cell edges are 5.326, 5.326 and 7.116 Å and the angles 90.00°, 90.00° and 90.00°. Symmetry generates all atoms from Cs at (0.000, 0.000, 0.000), Bi at (0.500, 0.500, 0.211), Pb at (0.000, 0.500, 0.496) and Pb at (0.500, 0.500, 0.772).



Cs3Bi4Pb2 | PBE | optimized geometry

The offset from the most stable computed form is 0.000 eV per atom. The value obtained for the magnetic moment is 0.00 μB/f.u. As for the density of states at the Fermi level: 4.1 states/eV/cell. The value obtained for the total DFT energy (no corrections) is -0.1146 Ha/atom. The formation energy comes out at -0.28 eV/atom.

The structure belongs to space group P-1 (No. 2); the cell edges are 5.433, 7.560 and 10.844 Å and the angles 100.41°, 90.07° and 111.00°. Symmetry generates all atoms from Cs at (0.000, 0.000, 0.000), Cs at (0.399, 0.799, 0.291), Bi at (0.099, 0.197, 0.431), Bi at (0.271, 0.542, 0.932) and Pb at (0.298, 0.596, 0.640).



CsBi3Pb3 | PBE | optimized geometry

The offset from the most stable computed form is 0.022 eV per atom. The value obtained for the magnetic moment is 0.00 μB/f.u. As for the density of states at the Fermi level: 6.8 states/eV/cell. The value obtained for the total DFT energy (no corrections) is -0.1258 Ha/atom. The formation energy comes out at -0.05 eV/atom.

The structure belongs to space group P6_3/m (No. 176); the cell edges are 12.0070, 12.0070 and 4.4340 Å and the angles 90.00°, 90.00° and 120.00°. Symmetry generates all atoms from Cs at (0.3333, 0.6667, 0.2500), Bi at (0.0209, 0.6128, 0.7500) and Pb at (0.0787, 0.2621, 0.7500).



CsBiPb3 | PBE | optimized geometry

The offset from the most stable computed form is 0.443 eV per atom. The value obtained for the magnetic moment is 0.00 μB/f.u. As for the density of states at the Fermi level: 6.1 states/eV/cell. The value obtained for the total DFT energy (no corrections) is -0.1064 Ha/atom. The formation energy comes out at 0.28 eV/atom.

The structure belongs to space group Pm-3m (No. 221); the cell edges are 6.186, 6.186 and 6.186 Å and the angles 90.00°, 90.00° and 90.00°. Symmetry generates all atoms from Cs at (0.000, 0.000, 0.000), Bi at (0.500, 0.500, 0.500) and Pb at (0.000, 0.500, 0.500).



Cs2BiPb | PBE | optimized geometry

The offset from the most stable computed form is 0.000 eV per atom. The value obtained for the magnetic moment is 0.00 μB/f.u. As for the density of states at the Fermi level: 5.9 states/eV/cell. The value obtained for the total DFT energy (no corrections) is -0.0945 Ha/atom. The formation energy comes out at -0.25 eV/atom.

The structure belongs to space group Imm2 (No. 44); the cell edges are 4.785, 11.660 and 7.653 Å and the angles 90.00°, 90.00° and 90.00°. Symmetry generates all atoms from Cs at (0.000, 0.192, 0.000), Bi at (0.000, 0.000, 0.536) and Pb at (0.000, 0.500, 0.787).



CsBi4Pb12 | PBE | optimized geometry

The value obtained for the magnetic moment is 0.00 μB/f.u. As for the density of states at the Fermi level: 21.8 states/eV/cell. The value obtained for the total DFT energy (no corrections) is -0.1284 Ha/atom. The formation energy comes out at 0.09 eV/atom.

The structure belongs to space group Im-3 (No. 204); the cell edges are 10.968, 10.968 and 10.968 Å and the angles 90.00°, 90.00° and 90.00°. Symmetry generates all atoms from Cs at (0.000, 0.000, 0.000), Bi at (0.250, 0.250, 0.250) and Pb at (0.000, 0.147, 0.358).



CsBi4Pb | PBE | optimized geometry

The value obtained for the magnetic moment is 0.00 μB/f.u. As for the density of states at the Fermi level: 24.0 states/eV/cell. The value obtained for the total DFT energy (no corrections) is -0.1230 Ha/atom. The formation energy comes out at 0.00 eV/atom.

The structure belongs to space group F-43m (No. 216); the cell edges are 9.584, 9.584 and 9.584 Å and the angles 90.00°, 90.00° and 90.00°. Symmetry generates all atoms from Cs at (0.000, 0.000, 0.000), Bi at (0.122, 0.122, 0.378) and Pb at (0.250, 0.250, 0.750).